This record from Alexandria via LeMat-Bulk describes Tb12Tm6Sc after structural relaxation. The functional is PBE-GGA.

a b c (Å): 8.451 8.451 8.451
angles (deg): 88.67 88.67 88.67
Sites, in units of the cell vectors:
Tb 0.539 0.436 0.780
Tm 0.258 0.096 0.702
Tb 0.461 0.564 0.220
Tb 0.014 0.193 0.359
Tb 0.807 0.641 0.986
Tb 0.780 0.539 0.436
Sc 0.000 0.000 0.000
Tb 0.359 0.014 0.193
Tm 0.742 0.904 0.298
Tb 0.193 0.359 0.014
Tb 0.436 0.780 0.539
Tm 0.298 0.742 0.904
Tm 0.904 0.298 0.742
Tb 0.220 0.461 0.564
Tb 0.564 0.220 0.461
Tb 0.641 0.986 0.807
Tb 0.986 0.807 0.641
Tm 0.702 0.258 0.096
Tm 0.096 0.702 0.258

ΔE_f ... 14.8 kJ per mole of atoms
DOS(E_F) ... 1.804 states/eV per atom
Space group ... R-3
ρ ... 8.17 g/cm³
Calculated volume ... 603.0 Å³/cell